[1]
Entry from the Alexandria database: ZnCuPd after structural relaxation (PBE-GGA).

It has space group I4mm (No. 107), with a = 2.9661 Å, b = 2.9661 Å, c = 9.3724 Å, α = 90.00°, β = 90.00° and γ = 90.00°. Symmetry generates all atoms from Zn at (0.0000, 0.0000, 0.0000), Cu at (0.0000, 0.0000, 0.3450) and Pd at (0.0000, 0.0000, 0.6702).

The formation energy comes out at -0.839 eV per formula unit. Its relative energy among the computed polymorphs is 0.000 eV/atom. The uncorrected energy is -3.80 eV/atom. The calculation puts the mass density at 9.48 g/cm3.

=====

[2]
Entry from the Alexandria database: Sb2H2Pd7 after structural relaxation (PBE-GGA).

It has space group C2/m (No. 12), with a = 7.0545 Å, b = 8.1269 Å, c = 5.6852 Å, α = 90.00°, β = 98.94° and γ = 90.00°. Symmetry generates all atoms from Sb at (0.0000, 0.1981, 0.0000), H at (0.2366, 0.5000, 0.4664), Pd at (0.0000, 0.0000, 0.5000), Pd at (0.1724, 0.3302, 0.6725) and Pd at (0.1862, 0.5000, 0.1399).

The uncorrected energy is -4.91 eV/atom. The calculation puts the mass density at 10.22 g/cm3.